Computed, not measured: a geometry-optimized Ac2In6Ag structure at the PBE-GGA level of DFT.

```
data_Ac2In6Ag
_space_group_name_H-M_alt 'A m m 2'
_space_group_IT_number 38
_cell_length_a 3.962
_cell_length_b 4.973
_cell_length_c 27.093
_cell_angle_alpha 90.00
_cell_angle_beta 90.00
_cell_angle_gamma 90.00
loop_
_space_group_symop_operation_xyz
'x,y,z'
'-x,-y,z'
'-x,y,z'
'x,-y,z'
'x,y+1/2,z+1/2'
'-x,-y+1/2,z+1/2'
'-x,y+1/2,z+1/2'
'x,-y+1/2,z+1/2'
loop_
_atom_site_label
_atom_site_fract_x
_atom_site_fract_y
_atom_site_fract_z
Ac1 0.000 0.000 0.000
Ac2 0.000 0.000 0.330
In1 0.000 0.000 0.630
In2 0.000 0.000 0.740
In3 0.500 0.000 0.110
In4 0.500 0.000 0.218
In5 0.500 0.000 0.444
In6 0.500 0.000 0.883
Ag1 0.500 0.000 0.549
```

Summary:
Spin magnetization, Bohr magnetons per cell: 0.000
E_form, eV/atom: -0.246
Energy, eV/atom: -3.30
Crystal system: orthorhombic
DOS at the Fermi energy, states/eV per atom: 0.71